Compound: ZnCoW2
Source: Alexandria via LeMat-Bulk
Functional: GGA-PBE
Structure: relaxed

POSCAR file:
```
ZnCoW2
1.0
3.270 0.000 0.000
0.000 3.270 0.000
0.000 0.000 5.356
Zn Co W
1 1 2
Direct
0.000 0.000 0.000 Zn
0.000 0.000 0.500 Co
0.500 0.500 0.273 W
0.500 0.500 0.727 W
```

Calculated values
symmetry: P4/mmm
formation enthalpy at 0 K: 0.38 eV per atom
density: 14.269 Mg/m³